This record from OQMD via LeMat-Bulk describes a geometry-optimized HoSnPO structure. The functional is PBE.

Cell: 4.6522 6.3717 6.1606 Å, 90.00 90.00 90.00°
Fractional coordinates of all 8 atoms:
Ho: 0.0000 0.1566 0.0000
Ho: 0.0000 0.8434 0.5000
Sn: 0.5000 0.2868 0.3762
Sn: 0.5000 0.7132 0.8762
P: 0.5000 0.2906 0.7981
P: 0.5000 0.7094 0.2981
O: 0.0000 0.1415 0.3536
O: 0.0000 0.8585 0.8536

Results
The calculation puts the total magnetization at 0.000 μB per atom. Its uncorrected energy is -6.0477 eV per atom. Its energy above the lowest structure with this stoichiometry is 0.144 eV per atom. Its crystal system is orthorhombic.

This record from OQMD via LeMat-Bulk describes a geometry-optimized PuAlGa structure. The functional is PBE.

Cell: 4.7379 4.7379 4.7379 Å, 60.00 60.00 60.00°
Fractional coordinates of all 3 atoms:
Pu: 0.0000 0.0000 0.0000
Al: 0.7500 0.7500 0.7500
Ga: 0.2500 0.2500 0.2500

Results
The calculation puts the total magnetization at 1.876 μB per atom. Its uncorrected energy is -6.7084 eV per atom. Its crystal system is cubic.

This record from OQMD via LeMat-Bulk describes a geometry-optimized TlIn2Hg structure. The functional is PBE.

Cell: 5.3308 5.3308 5.3308 Å, 60.00 60.00 60.00°
Fractional coordinates of all 4 atoms:
Tl: 0.0000 0.0000 0.0000
In: 0.5000 0.5000 0.5000
In: 0.7500 0.7500 0.7500
Hg: 0.2500 0.2500 0.2500

Results
Its uncorrected energy is -1.9960 eV per atom. Its crystal system is cubic.

This record from OQMD via LeMat-Bulk describes a geometry-optimized Pm2Os structure. The functional is PBE.

Cell: 8.4959 8.4959 8.4959 Å, 60.00 60.00 60.00°
Fractional coordinates of all 6 atoms:
Pm: 0.0000 0.0000 0.0000
Pm: 0.0000 0.0000 0.5000
Pm: 0.0000 0.5000 0.0000
Pm: 0.5000 0.0000 0.0000
Os: 0.1250 0.1250 0.1250
Os: 0.8750 0.8750 0.8750

Results
The calculation puts the total magnetization at 0.034 μB per atom. Its uncorrected energy is -5.7327 eV per atom. The energy of formation from the pure elements is 27.044 kcal/mol of atoms. Its energy above the lowest structure with this stoichiometry is 0.000 eV per atom. Its crystal system is cubic.

| no. | mass density (g/cm3) |
| --- | --- |
| 1 | 6.013 |
| 2 | 7.523 |
| 3 | 9.838 |
| 4 | 3.678 |